[1]
Material: MnCrCl2
Method: DFT, PBE
State: optimized geometry

The structure belongs to space group P2/m (No. 10); the cell edges are 3.4655, 3.8630 and 6.5021 Å and the angles 90.00°, 104.58° and 90.00°. The asymmetric unit holds Mn at (0.0000, 0.0000, 0.0000), Cr at (0.0000, 0.0000, 0.5000) and Cl at (0.1274, 0.5000, 0.2647).

The value obtained for the formation energy without anion corrections is 31 meV/atom.

---

[2]
Material: Si2SbPb2
Method: DFT, PBE
State: optimized geometry

The structure belongs to space group P4/mbm (No. 127); the cell edges are 8.8225, 8.8225 and 3.2961 Å and the angles 90.00°, 90.00° and 90.00°. The asymmetric unit holds Si at (0.1506, 0.3494, 0.0000), Sb at (0.0000, 0.0000, 0.5000) and Pb at (0.1475, 0.6475, 0.5000).

The value obtained for the formation energy without anion corrections is 579 meV/atom.

---

[3]
Material: CrIr2Pt
Method: DFT, PBE
State: optimized geometry

The structure belongs to space group C2/m (No. 12); the cell edges are 9.0773, 2.7181 and 4.6976 Å and the angles 90.00°, 100.86° and 90.00°. The asymmetric unit holds Cr at (0.0000, 0.0000, 0.0000), Ir at (0.2402, 0.5000, 0.2393) and Pt at (0.0000, 0.5000, 0.5000).

Its formation energy from the elements is -105 meV/atom.

---

[4]
Material: Re4Pt
Method: DFT, PBE
State: optimized geometry

The structure belongs to space group I4/mmm (No. 139); the cell edges are 3.9871, 3.9871 and 11.1348 Å and the angles 90.00°, 90.00° and 90.00°. The asymmetric unit holds Re at (0.0000, 0.0000, 0.1122), Re at (0.0000, 0.5000, 0.2500) and Pt at (0.0000, 0.0000, 0.5000).

Its formation energy from the elements is 580 meV/atom.

---

Summary of electronic total energy in Ry per atom
-0.4109; -0.2865; -0.6211; -0.7781
(order as listed above)